[1]
Crystalline LaCO3 at its relaxed geometry. Source: Alexandria via LeMat-Bulk, functional PBE-GGA.

Computed properties:
Uncorrected formation energy: -2070 meV/atom
Electronic total energy: -7.88 eV/atom
Space group: Ama2, No. 40

Cell: 4.389 4.389 8.389 Å, 90.00 90.00 124.53°
Element x y z (fractional)
O  0.390  0.750  0.108
O  0.765  0.833  0.750
O  0.750  0.390  0.892
O  0.390  0.750  0.392
O  0.833  0.765  0.250
O  0.750  0.390  0.608
C  0.679  0.485  0.750
C  0.485  0.679  0.250
La  0.095  0.095  0.500
La  0.095  0.095  0.000


[2]
Crystalline Na2P2H14O13 at its relaxed geometry. Source: Alexandria via LeMat-Bulk, functional PBE-GGA.

Computed properties:
Electronic total energy: -5.46 eV/atom
Space group: C2/c, No. 15

Cell: 6.951 7.903 12.611 Å, 79.18 74.00 63.91°
Element x y z (fractional)
P  0.859  0.861  0.139
P  0.141  0.361  0.639
P  0.859  0.639  0.361
P  0.141  0.139  0.861
H  0.151  0.127  0.433
H  0.712  0.373  0.067
H  0.616  0.126  0.986
H  0.077  0.478  0.102
H  0.523  0.391  0.611
H  0.548  0.800  0.558
H  0.534  0.559  0.119
H  0.384  0.874  0.014
H  0.657  0.022  0.398
H  0.923  0.522  0.898
H  0.094  0.300  0.058
H  0.272  0.626  0.486
H  0.343  0.978  0.602
H  0.906  0.700  0.942
H  0.475  0.891  0.111
H  0.288  0.627  0.933
H  0.799  0.402  0.647
H  0.787  0.059  0.619
H  0.452  0.200  0.442
H  0.466  0.441  0.881
H  0.201  0.598  0.353
H  0.525  0.109  0.889
H  0.849  0.873  0.567
H  0.728  0.374  0.514
H  0.153  0.902  0.147
H  0.847  0.098  0.853
H  0.477  0.609  0.389
H  0.213  0.941  0.381
O  0.645  0.009  0.110
O  0.988  0.280  0.945
O  0.608  0.172  0.907
O  0.982  0.959  0.177
O  0.227  0.250  0.750
O  0.158  0.079  0.365
O  0.603  0.421  0.135
O  0.885  0.659  0.878
O  0.882  0.459  0.677
O  0.115  0.341  0.122
O  0.313  0.672  0.407
O  0.578  0.159  0.378
O  0.422  0.841  0.622
O  0.397  0.579  0.865
O  0.213  0.220  0.555
O  0.118  0.541  0.323
O  0.687  0.328  0.593
O  0.764  0.491  0.390
O  0.018  0.041  0.823
O  0.773  0.750  0.250
O  0.355  0.991  0.890
O  0.392  0.828  0.093
O  0.012  0.720  0.055
O  0.842  0.921  0.635
O  0.787  0.780  0.445
O  0.236  0.509  0.610
Na  0.621  0.754  0.770
Na  0.379  0.246  0.230
Na  0.145  0.746  0.730
Na  0.855  0.254  0.270


[3]
Crystalline CeSc3Cu8 at its relaxed geometry. Source: Alexandria via LeMat-Bulk, functional PBE-GGA.

Computed properties:
Electronic total energy: -5.01 eV/atom
Energy of formation: -0.199 eV/atom
Space group: P3m1, No. 156

Cell: 5.122 5.122 8.300 Å, 90.00 90.00 120.00°
Element x y z (fractional)
Cu  0.168  0.832  0.244
Cu  0.665  0.832  0.244
Cu  0.333  0.667  0.995
Cu  0.502  0.004  0.755
Cu  0.168  0.335  0.244
Cu  0.333  0.667  0.500
Cu  0.502  0.498  0.755
Cu  0.996  0.498  0.755
Ce  0.000  0.000  0.560
Sc  0.667  0.333  0.053
Sc  0.667  0.333  0.435
Sc  0.000  0.000  0.959


[4]
Crystalline TePb3Cl at its relaxed geometry. Source: Alexandria via LeMat-Bulk, functional PBE-GGA.

Computed properties:
Uncorrected formation energy: 230 meV/atom
Electronic total energy: -2.99 eV/atom
E above lowest polymorph: 0.0000 eV/atom
Space group: Pm-3m, No. 221

Cell: 5.640 5.640 5.640 Å, 90.00 90.00 90.00°
Element x y z (fractional)
Cl  0.000  0.000  0.000
Pb  0.500  0.000  0.000
Pb  0.000  0.500  0.000
Pb  0.000  0.000  0.500
Te  0.500  0.500  0.500


[5]
Crystalline Te2AsPd at its relaxed geometry. Source: Alexandria via LeMat-Bulk, functional PBE-GGA.

Computed properties:
Uncorrected formation energy: 115 meV/atom
Electronic total energy: -3.92 eV/atom
Space group: R-3m, No. 166

Cell: 8.632 8.632 8.632 Å, 26.84 26.84 26.84°
Element x y z (fractional)
Te  0.891  0.891  0.891
Te  0.109  0.109  0.109
Pd  0.500  0.500  0.500
As  0.000  0.000  0.000


[6]
Crystalline RbCaY2 at its relaxed geometry. Source: Alexandria via LeMat-Bulk, functional PBE-GGA.

Computed properties:
Electronic total energy: -3.20 eV/atom
Energy of formation: 0.772 eV/atom
E above lowest polymorph: 0.1703 eV/atom
Space group: I-42d, No. 122

Cell: 9.641 9.641 7.633 Å, 50.84 50.84 90.00°
Element x y z (fractional)
Y  0.121  0.625  0.250
Y  0.629  0.125  0.250
Y  0.375  0.371  0.750
Y  0.875  0.879  0.750
Ca  0.500  0.500  0.000
Ca  0.250  0.750  0.500
Rb  0.750  0.250  0.500
Rb  0.000  0.000  0.000


- Which of these has the lowest electronic total energy?
  LaCO3


- Among the records above, which one has the highest electronic total energy?
  TePb3Cl


- Look up the electronic total energy of the sixth one.
  -3.20 eV/atom